1.
A relaxed structure of Li7Hg2Sb. Source: Alexandria, functional PBE.

Cell and atoms, written as extended XYZ:
```
10
Lattice="4.6066 0.0000 0.0000 -2.3033 3.9894 0.0000 0.0000 0.0000 11.2165" Properties=species:S:1:pos:R:3 pbc="T T T"
Li 0.0000 0.0000 0.0000
Li 0.0000 0.0000 2.6685
Li 0.0000 0.0000 8.2090
Li 0.0000 2.6596 4.3444
Li 0.0000 2.6596 9.8900
Li 2.3033 1.3298 1.2212
Li 2.3033 1.3298 6.4441
Hg 0.0000 0.0000 5.4464
Hg 2.3033 1.3298 9.3411
Sb 0.0000 2.6596 1.4924
```

Values from the calculation:
Energy relative to the elements, uncorrected   -0.3341 eV per atom
Electronic total energy   -2.15 eV/atom
Mass density   4.60 Mg/m³

***

2.
A relaxed structure of LiHg2Sb. Source: Alexandria, functional PBE.

Cell and atoms, written as extended XYZ:
```
4
Lattice="3.0586 -5.4797 0.0000 3.0586 5.4797 0.0000 -1.7488 0.0000 2.8587" Properties=species:S:1:pos:R:3 pbc="T T T"
Li 0.0000 0.0000 0.0000
Hg 1.5293 2.7398 0.0000
Hg 1.5293 -2.7398 0.0000
Sb 3.0586 0.0000 0.0000
```

Values from the calculation:
Energy relative to the elements, uncorrected   -0.1133 eV per atom
Electronic total energy   -1.77 eV/atom
Mass density   9.18 Mg/m³

***

3.
A relaxed structure of LiHgSb. Source: Alexandria, functional PBE.

Cell and atoms, written as extended XYZ:
```
3
Lattice="0.0000 2.2939 6.5815 2.2775 0.0000 6.5815 2.2775 2.2939 0.0000" Properties=species:S:1:pos:R:3 pbc="T T T"
Li 0.0000 0.0000 0.0000
Hg 2.2775 2.2939 4.6806
Sb 2.2775 2.2939 8.6229
```

Values from the calculation:
Energy relative to the elements, uncorrected   -0.2398 eV per atom
Electronic total energy   -2.35 eV/atom
Mass density   7.95 Mg/m³

***

4.
A relaxed structure of Li3Hg3Sb. Source: Alexandria, functional PBE.

Cell and atoms, written as extended XYZ:
```
14
Lattice="4.7750 -4.7988 0.0000 4.7750 4.7988 0.0000 0.0000 0.0000 6.3716" Properties=species:S:1:pos:R:3 pbc="T T T"
Li 0.0000 0.0000 1.4510
Li 0.0000 0.0000 4.9206
Li 2.3875 2.3994 1.5433
Li 2.3875 2.3994 4.8282
Li 2.3875 -2.3994 1.5433
Li 2.3875 -2.3994 4.8282
Hg 2.4743 0.0000 3.1858
Hg 2.5495 0.0000 0.0000
Hg 4.7750 2.2282 3.1858
Hg 4.7750 -2.2282 3.1858
Hg 7.0005 0.0000 0.0000
Hg 7.0757 0.0000 3.1858
Sb 4.7750 2.1684 0.0000
Sb 4.7750 -2.1684 0.0000
```

Values from the calculation:
Energy relative to the elements, uncorrected   -0.3242 eV per atom
Electronic total energy   -1.86 eV/atom
E above lowest polymorph   0 meV per atom
Mass density   8.47 Mg/m³

***

5.
A relaxed structure of Li4Hg2Sb. Source: Alexandria, functional PBE.

Cell and atoms, written as extended XYZ:
```
7
Lattice="2.3735 -7.9905 0.0000 2.3735 7.9905 0.0000 0.0000 0.0000 4.6793" Properties=species:S:1:pos:R:3 pbc="T T T"
Li 2.3735 6.5791 0.0000
Li 2.3735 1.4422 2.3397
Li 2.3735 -1.4422 2.3397
Li 2.3735 -6.5791 0.0000
Hg 2.3735 4.8875 2.3397
Hg 2.3735 -4.8875 2.3397
Sb 2.3735 0.0000 0.0000
```

Values from the calculation:
Energy relative to the elements, uncorrected   -0.3130 eV per atom
Electronic total energy   -2.08 eV/atom
E above lowest polymorph   22 meV per atom
Mass density   5.15 Mg/m³

***

6.
A relaxed structure of Li7HgSb4. Source: Alexandria, functional PBE.

Cell and atoms, written as extended XYZ:
```
12
Lattice="5.9490 -2.5466 0.0000 5.9490 2.5466 0.0000 -5.8605 0.0000 8.6846" Properties=species:S:1:pos:R:3 pbc="T T T"
Li 0.0000 0.0000 0.0000
Li -3.0448 0.0000 7.8384
Li -1.0231 0.0000 5.6495
Li 1.6272 0.0000 4.7912
Li 4.4102 0.0000 3.8934
Li 7.0605 0.0000 3.0351
Li 9.0823 0.0000 0.8462
Hg 5.9490 0.0000 0.0000
Sb -0.6338 0.0000 2.7294
Sb 2.2146 0.0000 2.0007
Sb 3.8229 0.0000 6.6839
Sb 6.6712 0.0000 5.9552
```

Values from the calculation:
Energy relative to the elements, uncorrected   -0.4196 eV per atom
Electronic total energy   -2.94 eV/atom
Mass density   4.65 Mg/m³

***

7.
A relaxed structure of LiHg3Sb. Source: Alexandria, functional PBE.

Cell and atoms, written as extended XYZ:
```
5
Lattice="5.6893 0.0000 0.0000 0.0000 5.6893 0.0000 0.0000 0.0000 5.6893" Properties=species:S:1:pos:R:3 pbc="T T T"
Li 0.0000 0.0000 0.0000
Hg 0.0000 2.8446 2.8446
Hg 2.8446 0.0000 2.8446
Hg 2.8446 2.8446 0.0000
Sb 2.8446 2.8446 2.8446
```

Values from the calculation:
Energy relative to the elements, uncorrected   0.2447 eV per atom
Electronic total energy   -1.14 eV/atom
E above lowest polymorph   361 meV per atom
Mass density   6.59 Mg/m³

***

8.
A relaxed structure of Li4Hg5Sb2. Source: Alexandria, functional PBE.

Cell and atoms, written as extended XYZ:
```
11
Lattice="4.5613 0.0000 0.0000 0.0168 6.6341 0.0000 2.1795 3.2101 8.2274" Properties=species:S:1:pos:R:3 pbc="T T T"
Li 1.0985 3.4133 4.1059
Li 3.3454 8.1783 6.8997
Li 3.4121 1.6659 1.3277
Li 5.6590 6.4309 4.1216
Hg 1.1294 3.2426 1.1226
Hg 1.1453 6.7004 1.1223
Hg 3.3704 1.6050 4.1137
Hg 5.6122 3.1438 7.1052
Hg 5.6281 6.6015 7.1049
Sb 3.3555 4.9037 5.5760
Sb 3.4021 4.9404 2.6514
```

Values from the calculation:
Energy relative to the elements, uncorrected   -0.2214 eV per atom
Electronic total energy   -1.80 eV/atom
Mass density   8.50 Mg/m³

***

9.
A relaxed structure of Li5Hg4Sb. Source: Alexandria, functional PBE.

Cell and atoms, written as extended XYZ:
```
10
Lattice="3.3671 0.0000 0.0000 0.0000 3.3671 0.0000 0.0000 0.0000 16.9475" Properties=species:S:1:pos:R:3 pbc="T T T"
Li 0.0000 0.0000 0.0000
Li 0.0000 0.0000 3.2871
Li 0.0000 0.0000 6.6588
Li 0.0000 0.0000 10.2887
Li 0.0000 0.0000 13.6605
Hg 1.6836 1.6836 1.6095
Hg 1.6836 1.6836 4.8664
Hg 1.6836 1.6836 12.0811
Hg 1.6836 1.6836 15.3381
Sb 1.6836 1.6836 8.4738
```

Values from the calculation:
Energy relative to the elements, uncorrected   -0.3768 eV per atom
Electronic total energy   -1.87 eV/atom
Mass density   8.29 Mg/m³

***

10.
A relaxed structure of LiHg2Sb. Source: Alexandria, functional PBE.

Cell and atoms, written as extended XYZ:
```
4
Lattice="3.3765 0.0000 0.0000 0.0000 5.5204 0.0000 -0.3769 0.0000 5.1486" Properties=species:S:1:pos:R:3 pbc="T T T"
Li 0.0000 0.0000 0.0000
Hg 0.7751 2.7602 1.2428
Hg 2.2245 2.7602 3.9057
Sb 1.4998 0.0000 2.5743
```

Values from the calculation:
Energy relative to the elements, uncorrected   -0.1327 eV per atom
Electronic total energy   -1.79 eV/atom
Mass density   9.17 Mg/m³

***

11.
A relaxed structure of Li2HgSb. Source: Alexandria, functional PBE.

Cell and atoms, written as extended XYZ:
```
4
Lattice="1.6874 0.9742 8.8964 -1.6874 0.9742 8.8964 0.0000 -1.9484 8.8964" Properties=species:S:1:pos:R:3 pbc="T T T"
Li 0.0000 0.0000 6.5230
Li 0.0000 0.0000 20.1661
Hg 0.0000 0.0000 0.0000
Sb 0.0000 0.0000 13.3445
```

Values from the calculation:
Energy relative to the elements, uncorrected   -0.3045 eV per atom
Electronic total energy   -2.37 eV/atom
Mass density   6.36 Mg/m³

***

12.
A relaxed structure of Li5Hg8Sb. Source: Alexandria, functional PBE.

Cell and atoms, written as extended XYZ:
```
14
Lattice="-4.2284 4.2284 4.3239 4.2284 -4.2284 4.3239 4.2284 4.2284 -4.3239" Properties=species:S:1:pos:R:3 pbc="T T T"
Li 0.0000 0.0000 0.0000
Li 3.1116 2.3442 -0.9185
Li 1.8843 -1.1169 5.2424
Li 1.1169 1.8843 3.4055
Li 2.3442 5.3453 0.9185
Hg 1.3045 -0.8535 2.4417
Hg 2.9239 5.0819 -1.8822
Hg 0.5918 2.7493 0.6322
Hg 3.3749 2.9239 1.8822
Hg -0.5918 5.7076 0.6322
Hg -1.4791 3.6366 3.6918
Hg 0.8535 1.3045 6.2061
Hg 1.4791 4.8203 3.6918
Sb 4.2284 0.0000 2.1620
```

Values from the calculation:
Energy relative to the elements, uncorrected   -0.2074 eV per atom
Electronic total energy   -1.36 eV/atom
Mass density   9.46 Mg/m³

***

Copy entry 1 word for word.
A relaxed structure of Li7Hg2Sb. Source: Alexandria, functional PBE.

Cell and atoms, written as extended XYZ:
```
10
Lattice="4.6066 0.0000 0.0000 -2.3033 3.9894 0.0000 0.0000 0.0000 11.2165" Properties=species:S:1:pos:R:3 pbc="T T T"
Li 0.0000 0.0000 0.0000
Li 0.0000 0.0000 2.6685
Li 0.0000 0.0000 8.2090
Li 0.0000 2.6596 4.3444
Li 0.0000 2.6596 9.8900
Li 2.3033 1.3298 1.2212
Li 2.3033 1.3298 6.4441
Hg 0.0000 0.0000 5.4464
Hg 2.3033 1.3298 9.3411
Sb 0.0000 2.6596 1.4924
```

Values from the calculation:
Energy relative to the elements, uncorrected   -0.3341 eV per atom
Electronic total energy   -2.15 eV/atom
Mass density   4.60 Mg/m³